Entry from Alexandria: a relaxed TiInBi2 crystal (PBE).

Cell lengths 3.7975, 3.7975, 26.9774 Å; angles 90.00, 90.00, 120.00 degrees
Closest atoms and distances in Å follow each position.
Element x y z (fractional)
Ti 0.0000 0.0000 0.0000  6 Bi 2.90
Ti 0.3333 0.6667 0.6667  6 Bi 2.90
Ti 0.6667 0.3333 0.3333  6 Bi 2.90
In 0.0000 0.0000 0.8341  6 Bi 3.38-3.42
In 0.3333 0.6667 0.5008  6 Bi 3.38-3.42
In 0.6667 0.3333 0.1675  6 Bi 3.38-3.42
Bi 0.0000 0.0000 0.4035  3 Ti 2.90
Bi 0.0000 0.0000 0.5963  3 Ti 2.90
Bi 0.3333 0.6667 0.0702  3 Ti 2.90
Bi 0.3333 0.6667 0.2629  3 Ti 2.90
Bi 0.6667 0.3333 0.7368  3 Ti 2.90
Bi 0.6667 0.3333 0.9296  3 Ti 2.90

Computed properties:
Energy   -54.7 eV/cell
Theoretical density   8.59 g cm⁻³
ΔH_f (0 K)   37 meV per atom